A plane-wave DFT calculation with GGA-PBE was carried out for crystalline Cs3H3Pd at its relaxed geometry.

**Uncorrected energy**: -18.91 eV per formula unit
**SG**: P2_1/m (11)

a b c (Å): 5.944 8.092 8.199
angles (deg): 101.62 90.00 90.00
Element x y z (fractional)
Cs: 0.250 0.592 0.797
Cs: 0.250 0.190 0.421
Cs: 0.250 0.147 0.886
Cs: 0.750 0.408 0.203
Cs: 0.750 0.810 0.579
Cs: 0.750 0.853 0.114
H: 0.750 0.491 0.844
H: 0.750 0.174 0.516
H: 0.750 0.135 0.862
H: 0.250 0.509 0.156
H: 0.250 0.826 0.484
H: 0.250 0.865 0.138
Pd: 0.750 0.290 0.719
Pd: 0.250 0.710 0.281